1.
Material: K2Sm2TiS6
Method: DFT, PBE
State: relaxed

Cell and atoms, written as POSCAR:
```
K2Sm2TiS6
1.0
-5.7198 3.2954 1.5605
3.4172 -3.2011 4.9078
4.7421 6.2149 -0.8827
K Ti S Sm
2 1 6 2
Direct
0.8289 0.1711 0.0000
0.1711 0.8289 0.0000
0.0000 0.0000 0.5000
0.7696 0.7696 0.6906
0.6321 0.9340 0.3067
0.9340 0.6321 0.3067
0.0660 0.3679 0.6933
0.2304 0.2304 0.3094
0.3679 0.0660 0.6933
0.6666 0.3334 0.5000
0.3334 0.6666 0.5000
```

Calculated values
M_tot	0.000	μB/cell
total DFT energy (no corrections)	-5.6860	eV per atom

=====

2.
Material: K3Sm2TiS6
Method: DFT, PBE
State: relaxed

Cell and atoms, written as POSCAR:
```
K3Sm2TiS6
1.0
-4.6126 -1.5621 4.9233
6.1337 -3.2113 -0.1435
2.3354 6.8291 2.7304
Sm K S Ti
2 3 6 1
Direct
0.3328 0.6672 0.0000
0.6672 0.3328 0.0000
0.5000 0.5000 0.5000
0.8308 0.1692 0.5000
0.1692 0.8308 0.5000
0.7593 0.7593 0.1975
0.9330 0.6243 0.8007
0.6243 0.9330 0.8007
0.0670 0.3757 0.1993
0.2407 0.2407 0.8025
0.3757 0.0670 0.1993
0.0000 0.0000 0.0000
```

Calculated values
M_tot	1.004	μB/cell
total DFT energy (no corrections)	-5.4220	eV per atom

=====

3.
Material: K2SmTlS4
Method: DFT, PBE
State: relaxed

Cell and atoms, written as POSCAR:
```
K2SmTlS4
1.0
-4.7019 -2.8426 -6.4445
5.0909 -6.7552 -0.4123
-3.7267 1.9427 7.3102
K S Tl Sm
4 8 2 2
Direct
0.5000 0.0000 0.5000
0.5000 0.5000 0.0000
0.5000 0.0000 0.0000
0.0000 0.0000 0.5000
0.7687 0.7446 0.9736
0.2446 0.2687 0.4736
0.2153 0.7307 0.9713
0.7554 0.7313 0.5264
0.2307 0.7153 0.4713
0.2313 0.2554 0.0264
0.7847 0.2693 0.0287
0.7693 0.2847 0.5287
0.0000 0.0000 0.0000
0.5000 0.5000 0.5000
0.0000 0.5000 0.0000
0.0000 0.5000 0.5000
```

Calculated values
M_tot	0.000	μB/cell
total DFT energy (no corrections)	-4.3805	eV per atom

=====

4.
Material: KSmTm4S8
Method: DFT, PBE
State: relaxed

Cell and atoms, written as POSCAR:
```
KSmTm4S8
1.0
8.1121 0.0000 0.0000
4.0561 7.0253 0.0000
4.0561 2.3418 6.7606
S Tm K Sm
8 4 1 1
Direct
0.7531 0.7531 0.2631
0.7573 0.7573 0.7281
0.7531 0.2306 0.2631
0.2306 0.7531 0.2631
0.2392 0.2392 0.7235
0.2392 0.7981 0.7235
0.2321 0.2321 0.3038
0.7981 0.2392 0.7235
0.0045 0.4865 0.5045
0.4865 0.0045 0.5045
0.0045 0.0045 0.5045
0.6256 0.6256 0.1233
0.3714 0.3714 0.8857
0.0048 0.0048 0.9857
```

Calculated values
M_tot	0.000	μB/cell
total DFT energy (no corrections)	-5.9710	eV per atom

=====

5.
Material: K3SmU2S6
Method: DFT, PBE
State: relaxed

Cell and atoms, written as POSCAR:
```
K3SmU2S6
1.0
-6.2521 3.1470 0.9244
0.3144 -6.4699 -2.8087
1.4890 -1.8606 7.4125
S U K Sm
6 2 3 1
Direct
0.4080 0.0684 0.2049
0.5920 0.9316 0.7951
0.2715 0.2715 0.7953
0.0684 0.4080 0.2049
0.7285 0.7285 0.2047
0.9316 0.5920 0.7951
0.6668 0.3332 0.0000
0.3332 0.6668 0.0000
0.5000 0.5000 0.5000
0.8349 0.1651 0.5000
0.1651 0.8349 0.5000
0.0000 0.0000 0.0000
```

Calculated values
M_tot	6.017	μB/cell
total DFT energy (no corrections)	-6.1482	eV per atom

=====

6.
Material: K3SmU3S8
Method: DFT, PBE
State: relaxed

Cell and atoms, written as POSCAR:
```
K3SmU3S8
1.0
-7.2420 2.2926 2.7893
2.0680 -7.8229 0.0604
3.9361 5.2727 5.8861
K S U Sm
3 8 3 1
Direct
0.0000 0.0000 0.0000
0.0000 0.5000 0.0000
0.5000 0.5000 0.0000
0.7637 0.0372 0.3009
0.7265 0.9628 0.6990
0.7637 0.5273 0.3010
0.7338 0.4677 0.7014
0.2662 0.5323 0.2986
0.2735 0.0372 0.3010
0.2363 0.4727 0.6990
0.2363 0.9628 0.6991
0.5000 0.5000 0.5000
0.5000 0.0000 0.5000
0.0000 0.5000 0.5000
0.0000 0.0000 0.5000
```

Calculated values
M_tot	8.000	μB/cell
total DFT energy (no corrections)	-6.5154	eV per atom

=====

What did the sixth record say?
Material: K3SmU3S8
Method: DFT, PBE
State: relaxed

Cell and atoms, written as POSCAR:
```
K3SmU3S8
1.0
-7.2420 2.2926 2.7893
2.0680 -7.8229 0.0604
3.9361 5.2727 5.8861
K S U Sm
3 8 3 1
Direct
0.0000 0.0000 0.0000
0.0000 0.5000 0.0000
0.5000 0.5000 0.0000
0.7637 0.0372 0.3009
0.7265 0.9628 0.6990
0.7637 0.5273 0.3010
0.7338 0.4677 0.7014
0.2662 0.5323 0.2986
0.2735 0.0372 0.3010
0.2363 0.4727 0.6990
0.2363 0.9628 0.6991
0.5000 0.5000 0.5000
0.5000 0.0000 0.5000
0.0000 0.5000 0.5000
0.0000 0.0000 0.5000
```

Calculated values
M_tot	8.000	μB/cell
total DFT energy (no corrections)	-6.5154	eV per atom